Record 1
The following is a DFT calculation (GGA-PBE) of InSi2W after structural relaxation.

Cell: 5.953 5.953 11.480 Å, 90.00 90.00 90.00°
Space group I-42d (No. 122)
Unique sites:
In 0.000 0.000 0.000 x4
Si 0.208 0.250 0.625 x8
W 0.000 0.000 0.500 x4

Computed properties:
The calculation puts the energy at -5.756 eV per atom.

Record 2
The following is a DFT calculation (GGA-PBE) of InSi2W after structural relaxation.

Cell: 6.166 7.279 2.946 Å, 90.00 90.00 90.00°
Space group Cmmm (No. 65)
Unique sites:
In 0.000 0.000 0.000 x2
Si 0.250 0.250 0.500 x4
W 0.000 0.500 0.000 x2

Computed properties:
The calculation puts the energy at -6.008 eV per atom.

Record 3
The following is a DFT calculation (GGA-PBE) of InSiW2 after structural relaxation.

Cell: 3.239 3.239 6.468 Å, 90.00 90.00 90.00°
Space group P4mm (No. 99)
Unique sites:
In 0.000 0.000 0.000 x1
Si 0.500 0.500 0.294 x1
W 0.000 0.000 0.480 x1
W 0.500 0.500 0.714 x1

Computed properties:
As for the polymorph energy (0 for the lowest one): 0 meV per atom.